i | Computed, not measured: an optimized crystal structure of Be3Si at the PBE-GGA level of DFT.

Computed properties:
- SG = Pm-3m

The structure in extended XYZ format:
```
4
Lattice="-0.5258 -2.9888 2.8699 -2.5529 -2.0450 -2.5974 3.2637 -2.0810 -1.5694" Properties=species:S:1:pos:R:3 pbc="T T T"
Be -0.2629 -1.4944 1.4349
Be -1.2764 -1.0225 -1.2987
Be 1.6319 -1.0405 -0.7847
Si 0.0000 0.0000 0.0000
```

=====

ii | Computed, not measured: an optimized crystal structure of Be3Si at the PBE-GGA level of DFT.

Computed properties:
- SG = Pm-3m

The structure in extended XYZ format:
```
4
Lattice="3.4038 0.0000 0.0000 0.0000 3.4038 0.0000 0.0000 0.0000 3.4038" Properties=species:S:1:pos:R:3 pbc="T T T"
Be 0.0000 1.7019 1.7019
Be 1.7019 0.0000 1.7019
Be 1.7019 1.7019 0.0000
Si 0.0000 0.0000 0.0000
```

=====

iii | Computed, not measured: an optimized crystal structure of Be3Si at the PBE-GGA level of DFT.

Computed properties:
- SG = Pmm2

The structure in extended XYZ format:
```
4
Lattice="-1.7975 1.5788 0.3753 -2.2585 -1.8434 -3.0621 -1.5939 -2.4438 2.6469" Properties=species:S:1:pos:R:3 pbc="T T T"
Be -0.0084 -0.0128 0.0139
Be -1.7059 -0.4481 1.5280
Be -3.3441 -2.1503 0.8422
Si -1.6541 -1.7264 -0.6594
```

=====

iv | Computed, not measured: an optimized crystal structure of Be3Si at the PBE-GGA level of DFT.

Computed properties:
- SG = P1

The structure in extended XYZ format:
```
8
Lattice="-0.6191 2.4430 -2.5294 -1.4461 -1.0951 -3.2352 -7.1581 2.4300 1.6089" Properties=species:S:1:pos:R:3 pbc="T T T"
Be -7.9213 3.1856 -3.7795
Be -5.3391 0.5239 -1.9457
Be -3.2420 2.9875 -2.5917
Be -2.7652 0.9809 -4.6745
Be -3.0722 0.8865 -2.1372
Be -4.5500 1.5198 -3.6938
Si -5.9646 2.6679 -2.2450
Si -8.2618 2.8271 -1.5185
```

=====

Which of them is the most stable? Correct choice: iv.